# YMo2O8

An optimized crystal structure of YMo2O8 (GGA+U, Alexandria via LeMat-Bulk).

Cell and atoms, written as extended XYZ:
```
11
Lattice="3.740 -3.983 0.000 3.740 3.983 0.000 -2.791 0.000 5.159" Properties=species:S:1:pos:R:3 pbc="T T T"
Y 0.000 0.000 0.000
Mo 2.345 1.179 2.580
Mo 2.345 -2.117 2.580
O -0.971 0.811 3.984
O 2.975 2.116 1.214
O 1.714 2.116 3.945
O 1.655 -0.448 1.605
O 0.522 -2.312 3.399
O 3.034 -0.448 3.554
O 5.661 0.811 1.175
O 4.167 -2.312 1.760
```

Calculated values
For the density of states at the Fermi level, the calculation gives 4.59 states/eV per cell. The calculation puts the total DFT energy (no corrections) at -7.30 eV per atom. As for the mass density: 4.42 g/cm3. The crystal system is monoclinic. As for the space-group type: C2.